(1)
{
  "formula": "Nd3Sn7",
  "functional": "GGA-PBE",
  "state": "relaxed",
  "cell": [[2.2288, -13.5085, 0.0000], [2.2288, 13.5085, 0.0000], [0.0000, 0.0000, 4.5196]],
  "species": ["Nd", "Nd", "Nd", "Sn", "Sn", "Sn", "Sn", "Sn", "Sn", "Sn"],
  "fractional_positions": [[0.0000, 0.0000, 0.0000], [0.3119, 0.6881, 0.5000], [0.6881, 0.3119, 0.5000], [0.0957, 0.9043, 0.5000], [0.2126, 0.7874, 0.0000], [0.4037, 0.5963, 0.0000], [0.5000, 0.5000, 0.5000], [0.5963, 0.4037, 0.0000], [0.7874, 0.2126, 0.0000], [0.9043, 0.0957, 0.5000]],
  "crystal_system": "orthorhombic",
  "e_tot_ev_per_atom": -4.8272
}


(2)
{
  "formula": "RbCuNiMo",
  "functional": "GGA-PBE",
  "state": "relaxed",
  "cell": [[6.4632, 0.0000, 0.0000], [0.0000, 6.4632, 0.0000], [0.0000, 0.0000, 6.4632]],
  "species": ["Rb", "Rb", "Rb", "Rb", "Cu", "Cu", "Cu", "Cu", "Ni", "Ni", "Ni", "Ni", "Mo", "Mo", "Mo", "Mo"],
  "fractional_positions": [[0.0000, 0.0000, 0.0000], [0.0000, 0.5000, 0.5000], [0.5000, 0.0000, 0.5000], [0.5000, 0.5000, 0.0000], [0.2500, 0.2500, 0.2500], [0.2500, 0.7500, 0.7500], [0.7500, 0.2500, 0.7500], [0.7500, 0.7500, 0.2500], [0.0000, 0.0000, 0.5000], [0.0000, 0.5000, 0.0000], [0.5000, 0.0000, 0.0000], [0.5000, 0.5000, 0.5000], [0.2500, 0.2500, 0.7500], [0.2500, 0.7500, 0.2500], [0.7500, 0.2500, 0.2500], [0.7500, 0.7500, 0.7500]],
  "crystal_system": "cubic",
  "polymorph_energy_ev_per_atom": 0.0824,
  "e_tot_ev_per_atom": -3.7334
}


(3)
{
  "formula": "BaPrBe",
  "functional": "GGA-PBE",
  "state": "relaxed",
  "cell": [[7.4562, 0.0000, 0.0000], [0.0000, 7.4562, 0.0000], [0.0000, 0.0000, 7.4562]],
  "species": ["Ba", "Ba", "Ba", "Ba", "Pr", "Pr", "Pr", "Pr", "Be", "Be", "Be", "Be"],
  "fractional_positions": [[0.0000, 0.0000, 0.0000], [0.0000, 0.5000, 0.5000], [0.5000, 0.0000, 0.5000], [0.5000, 0.5000, 0.0000], [0.0000, 0.0000, 0.5000], [0.0000, 0.5000, 0.0000], [0.5000, 0.0000, 0.0000], [0.5000, 0.5000, 0.5000], [0.2500, 0.2500, 0.2500], [0.2500, 0.7500, 0.7500], [0.7500, 0.2500, 0.7500], [0.7500, 0.7500, 0.2500]],
  "crystal_system": "cubic",
  "polymorph_energy_ev_per_atom": 0.0000,
  "e_tot_ev_per_atom": -2.9081
}


(4)
{
  "formula": "KTaS5",
  "functional": "GGA-PBE",
  "state": "relaxed",
  "cell": [[15.2643, 0.0000, 0.0000], [0.0000, 6.4712, 0.0000], [-8.0238, 0.0000, 13.5525]],
  "species": ["K", "K", "K", "K", "K", "K", "K", "K", "Ta", "Ta", "Ta", "Ta", "Ta", "Ta", "Ta", "Ta", "S", "S", "S", "S", "S", "S", "S", "S", "S", "S", "S", "S", "S", "S", "S", "S", "S", "S", "S", "S", "S", "S", "S", "S", "S", "S", "S", "S", "S", "S", "S", "S", "S", "S", "S", "S", "S", "S", "S", "S"],
  "fractional_positions": [[0.1498, 0.1459, 0.0864], [0.1498, 0.3541, 0.5864], [0.3482, 0.6421, 0.9329], [0.3482, 0.8579, 0.4329], [0.6518, 0.1421, 0.5671], [0.6518, 0.3579, 0.0671], [0.8502, 0.6459, 0.4136], [0.8502, 0.8541, 0.9136], [0.0359, 0.0515, 0.7440], [0.0359, 0.4485, 0.2440], [0.4650, 0.5816, 0.7087], [0.4650, 0.9184, 0.2087], [0.5350, 0.0816, 0.7913], [0.5350, 0.4184, 0.2913], [0.9641, 0.5515, 0.7560], [0.9641, 0.9485, 0.2560], [0.0443, 0.6654, 0.3782], [0.0443, 0.8346, 0.8782], [0.0520, 0.6089, 0.1068], [0.0520, 0.8911, 0.6068], [0.1101, 0.7138, 0.7341], [0.1101, 0.7862, 0.2341], [0.1268, 0.1759, 0.3738], [0.1268, 0.3241, 0.8738], [0.2067, 0.2005, 0.8098], [0.2067, 0.2995, 0.3098], [0.2946, 0.7391, 0.6046], [0.2946, 0.7609, 0.1046], [0.3736, 0.6458, 0.2487], [0.3736, 0.8542, 0.7487], [0.3882, 0.2446, 0.6262], [0.3882, 0.2554, 0.1262], [0.4476, 0.0835, 0.0559], [0.4476, 0.4165, 0.5559], [0.4573, 0.1341, 0.3359], [0.4573, 0.3659, 0.8359], [0.5427, 0.6341, 0.1641], [0.5427, 0.8659, 0.6641], [0.5524, 0.5835, 0.4441], [0.5524, 0.9165, 0.9441], [0.6118, 0.7446, 0.8738], [0.6118, 0.7554, 0.3738], [0.6264, 0.1458, 0.2513], [0.6264, 0.3542, 0.7513], [0.7054, 0.2391, 0.8954], [0.7054, 0.2609, 0.3954], [0.7933, 0.7005, 0.6902], [0.7933, 0.7995, 0.1902], [0.8732, 0.6759, 0.1262], [0.8732, 0.8241, 0.6262], [0.8899, 0.2138, 0.7659], [0.8899, 0.2862, 0.2659], [0.9480, 0.1089, 0.3932], [0.9480, 0.3911, 0.8932], [0.9557, 0.1654, 0.1218], [0.9557, 0.3346, 0.6218]],
  "crystal_system": "monoclinic",
  "e_tot_ev_per_atom": -5.6111
}


(5)
{
  "formula": "NbB4W",
  "functional": "GGA-PBE",
  "state": "relaxed",
  "cell": [[3.0794, 0.0000, 0.0000], [0.0000, 5.3387, 0.0000], [0.0000, 0.0000, 6.6209]],
  "species": ["Nb", "Nb", "B", "B", "B", "B", "B", "B", "B", "B", "W", "W"],
  "fractional_positions": [[0.0000, 0.0000, 0.0000], [0.5000, 0.5000, 0.5000], [0.0000, 0.3328, 0.2496], [0.0000, 0.3328, 0.7504], [0.0000, 0.6672, 0.2496], [0.0000, 0.6672, 0.7504], [0.5000, 0.1672, 0.2504], [0.5000, 0.1672, 0.7496], [0.5000, 0.8328, 0.2504], [0.5000, 0.8328, 0.7496], [0.0000, 0.0000, 0.5000], [0.5000, 0.5000, 0.0000]],
  "crystal_system": "orthorhombic",
  "polymorph_energy_ev_per_atom": 0.0000,
  "e_tot_ev_per_atom": -8.6822
}


(6)
{
  "formula": "TlMo4C2S",
  "functional": "GGA-PBE",
  "state": "relaxed",
  "cell": [[3.2076, 0.0000, 0.0000], [-1.6038, 2.7779, 0.0000], [0.0000, 0.0000, 12.7808]],
  "species": ["Tl", "Mo", "Mo", "Mo", "Mo", "C", "C", "S"],
  "fractional_positions": [[0.0000, 0.0000, 0.0000], [0.0000, 0.0000, 0.3577], [0.0000, 0.0000, 0.6423], [0.6667, 0.3333, 0.1901], [0.6667, 0.3333, 0.8099], [0.3333, 0.6667, 0.2683], [0.3333, 0.6667, 0.7317], [0.6667, 0.3333, 0.5000]],
  "crystal_system": "hexagonal",
  "e_tot_ev_per_atom": -8.5154
}